# 1
First-principles (GGA-PBE) data for Li3Cd2TcO6 after structural relaxation, as listed in Alexandria.

The value obtained for the total energy is -5.422 eV/atom. As for the density of states at the Fermi level: 4.9 states/eV/f.u.

The structure belongs to space group C2/m (No. 12); the cell edges are 5.5429, 10.0221 and 5.2349 Å and the angles 90.00°, 108.51° and 90.00°. The distinct sites, in fractional coordinates, are Li at (0.0000, 0.0000, 0.0000), Li at (0.0000, 0.3672, 0.0000), Cd at (0.0000, 0.1711, 0.5000), Tc at (0.0000, 0.5000, 0.5000), O at (0.2135, 0.3598, 0.7392) and O at (0.2258, 0.5000, 0.2669).



# 2
First-principles (GGA-PBE) data for LiCdTeO4 after structural relaxation, as listed in Alexandria.

The value obtained for the total energy is -4.828 eV/atom. As for the density of states at the Fermi level: 2.4 states/eV/f.u.

The structure belongs to space group Cmcm (No. 63); the cell edges are 6.2417, 9.5366 and 6.7253 Å and the angles 90.00°, 90.00° and 90.00°. The distinct sites, in fractional coordinates, are Li at (0.0000, 0.1568, 0.2500), Cd at (0.0000, 0.5000, 0.0000), Te at (0.0000, 0.1498, 0.7500), O at (0.0000, 0.2580, 0.5083) and O at (0.2294, 0.0094, 0.7500).



# 3
First-principles (GGA-PBE) data for LiCd2TeO4 after structural relaxation, as listed in Alexandria.

The value obtained for the total energy is -4.382 eV/atom. As for the density of states at the Fermi level: 0.9 states/eV/f.u.

The structure belongs to space group C2/c (No. 15); the cell edges are 8.6234, 9.3373 and 6.6837 Å and the angles 90.00°, 122.64° and 90.00°. The distinct sites, in fractional coordinates, are Li at (0.2500, 0.2500, 0.0000), Cd at (0.0000, 0.0000, 0.0000), Cd at (0.2500, 0.2500, 0.5000), Te at (0.0000, 0.5000, 0.0000), O at (0.0329, 0.2704, 0.0376) and O at (0.2147, 0.0072, 0.3882).



# 4
First-principles (GGA-PBE) data for Li2CdTeO after structural relaxation, as listed in Alexandria.

The value obtained for the total energy is -3.678 eV/atom. As for the density of states at the Fermi level: 0.2 states/eV/f.u.

The structure belongs to space group P4/mmm (No. 123); the cell edges are 4.2661, 4.2661 and 4.6231 Å and the angles 90.00°, 90.00° and 90.00°. The distinct sites, in fractional coordinates, are Li at (0.0000, 0.5000, 0.0000), Cd at (0.0000, 0.0000, 0.5000), Te at (0.5000, 0.5000, 0.5000) and O at (0.0000, 0.0000, 0.0000).



# 5
First-principles (GGA-PBE) data for Li2Cd2TeO6 after structural relaxation, as listed in Alexandria.

The value obtained for the total energy is -4.859 eV/atom. As for the density of states at the Fermi level: 0.0 states/eV/f.u.

The structure belongs to space group C2/m (No. 12); the cell edges are 5.7350, 9.8761 and 5.3364 Å and the angles 90.00°, 103.95° and 90.00°. The distinct sites, in fractional coordinates, are Li at (0.0000, 0.1327, 0.0000), Cd at (0.0000, 0.3366, 0.5000), Te at (0.0000, 0.0000, 0.5000), O at (0.1855, 0.1441, 0.7173) and O at (0.2217, 0.0000, 0.2720).



# 6
First-principles (GGA-PBE) data for Li3Cd2TeO6 after structural relaxation, as listed in Alexandria.

The value obtained for the total energy is -4.744 eV/atom. As for the density of states at the Fermi level: 3.7 states/eV/f.u.

The structure belongs to space group C2/m (No. 12); the cell edges are 5.6383, 10.0677 and 5.3874 Å and the angles 90.00°, 109.03° and 90.00°. The distinct sites, in fractional coordinates, are Li at (0.0000, 0.0000, 0.0000), Li at (0.0000, 0.3615, 0.0000), Cd at (0.0000, 0.1702, 0.5000), Te at (0.0000, 0.5000, 0.5000), O at (0.2208, 0.3551, 0.7426) and O at (0.2273, 0.5000, 0.2633).



Question: What is the formula in the second record?
Answer: LiCdTeO4